Here is an optimized crystal structure of Ac3VCl2O6 from Alexandria. Energies are from PBE+U.

a = 6.928 Å, b = 6.928 Å, c = 5.848 Å
α = 96.72°, β = 96.72°, γ = 59.18°
Sites, in units of the cell vectors:
Ac  0.000  0.000  0.000
Ac  0.000  0.500  0.500
Ac  0.500  0.000  0.500
V  0.500  0.500  0.500
Cl  0.225  0.225  0.897
Cl  0.775  0.775  0.103
O  0.221  0.668  0.690
O  0.332  0.779  0.310
O  0.355  0.355  0.340
O  0.645  0.645  0.660
O  0.668  0.221  0.690
O  0.779  0.332  0.310

Its space-group type is No. 12. The total energy is -0.2490 Ha/atom.